A plane-wave DFT calculation with PBE was carried out for a relaxed structure of MoSe2Cl.

Geometry as POSCAR:
```
MoSe2Cl
1.0
-3.679 0.328 2.791
2.164 -2.589 3.170
2.018 3.832 -1.635
Cl Mo Se
1 1 2
Direct
0.500 0.500 0.000
0.750 0.250 0.500
0.000 0.000 0.000
0.250 0.750 0.500
```

Values from the calculation:
calculated volume = 70.1 Å³/cell
ΔE to the lowest computed polymorph = 943 meV/atom
E_form (uncorrected) = 0.55 eV/atom



A plane-wave DFT calculation with PBE was carried out for a relaxed structure of MoSe2Cl.

Geometry as POSCAR:
```
MoSe2Cl
1.0
-2.785 -2.596 -5.430
-0.512 -4.610 -4.740
-4.733 -5.130 0.619
Cl Mo Se
1 1 2
Direct
0.604 0.604 0.428
0.248 0.248 0.129
0.910 0.910 0.080
0.738 0.738 0.863
```

Values from the calculation:
calculated volume = 120.8 Å³/cell
ΔE to the lowest computed polymorph = 0 meV/atom
E_form (uncorrected) = -0.40 eV/atom



A plane-wave DFT calculation with PBE was carried out for a relaxed structure of Mo2Se2Cl.

Geometry as POSCAR:
```
Mo2Se2Cl
1.0
3.627 0.000 -0.952
-0.250 3.618 -0.952
0.247 0.265 8.327
Mo Se Cl
2 2 1
Direct
0.844 0.844 0.687
0.156 0.156 0.313
0.677 0.677 0.354
0.323 0.323 0.646
0.000 0.000 0.000
```

Values from the calculation:
calculated volume = 111.1 Å³/cell
E_form (uncorrected) = 0.01 eV/atom



A plane-wave DFT calculation with PBE was carried out for a relaxed structure of MoSe2Cl8.

Geometry as POSCAR:
```
MoSe2Cl8
1.0
-5.315 2.989 5.146
-1.813 -7.138 2.695
1.974 1.216 6.967
Mo Se Cl
1 2 8
Direct
0.000 0.000 0.000
0.707 0.202 0.085
0.293 0.798 0.915
0.233 0.647 0.210
0.781 0.889 0.348
0.176 0.141 0.121
0.824 0.859 0.879
0.219 0.111 0.652
0.767 0.353 0.790
0.724 0.403 0.260
0.276 0.597 0.740
```

Values from the calculation:
calculated volume = 396.6 Å³/cell
E_form (uncorrected) = -0.48 eV/atom